Nd3Ho2Er8, optimized geometry, DFT PBE; offset from the most stable computed form = 229 meV per atom; volume = 430.5 Å³/cell; DFT total energy = -4.359 eV per atom; ΔE_f = 0.253 eV per atom
1.0
9.9861 -3.8451 0.0000
9.9861 3.8451 0.0000
-0.0060 0.0000 5.6052
Nd Ho Er
3 2 8
Direct
0.0000 0.0000 0.0000
0.2927 0.7073 0.5000
0.7073 0.2927 0.5000
0.2410 0.2410 0.9984
0.7590 0.7590 0.0016
0.1354 0.1354 0.4994
0.1814 0.5989 0.9995
0.3282 0.3282 0.4986
0.4011 0.8186 0.0005
0.5989 0.1814 0.9995
0.6718 0.6718 0.5014
0.8186 0.4011 0.0005
0.8646 0.8646 0.5006



TbPmHoCd, optimized geometry, DFT PBE; offset from the most stable computed form = 0 meV per atom; volume = 118.4 Å³/cell; DFT total energy = -3.869 eV per atom; ΔE_f = -0.150 eV per atom
1.0
3.6187 0.0000 0.0000
0.0000 3.6187 0.0000
0.0000 0.0000 9.0440
Tb Pm Ho Cd
1 1 1 1
Direct
0.0000 0.0000 0.0000
0.5000 0.5000 0.2783
0.0000 0.0000 0.5543
0.5000 0.5000 0.7742